KRbFeF6 (PBE+U, optimized geometry); VASP energy = -4.4406 eV per atom
1.0
5.551 0.000 0.000
0.000 5.551 0.000
0.000 0.000 11.209
K Rb Fe F
2 2 2 12
Direct
0.000 0.000 0.000
0.500 0.500 0.500
0.000 0.000 0.328
0.500 0.500 0.828
0.000 0.000 0.664
0.500 0.500 0.164
0.161 0.161 0.784
0.167 0.167 0.547
0.230 0.770 0.662
0.270 0.270 0.162
0.333 0.667 0.047
0.339 0.661 0.284
0.661 0.339 0.284
0.667 0.333 0.047
0.730 0.730 0.162
0.770 0.230 0.662
0.833 0.833 0.547
0.839 0.839 0.784